Entry 1:
Entry from Alexandria via LeMat-Bulk: a relaxed structure of TbPuTe2S (PBE).

abc: 4.3879 4.3879 15.5835
angles: 90.00 90.00 90.00
Fractional coordinates of all 10 atoms:
Pu  0.5000  0.0000  0.6018
Pu  0.0000  0.5000  0.3982
Te  0.0000  0.5000  0.6976
Te  0.0000  0.5000  0.0946
Te  0.5000  0.0000  0.9054
Te  0.5000  0.0000  0.3024
Tb  0.5000  0.0000  0.1128
Tb  0.0000  0.5000  0.8872
S  0.0000  0.0000  0.5000
S  0.5000  0.5000  0.5000

Calculated values
total energy = -71.94 eV/cell
M_tot = 4.79 μB per formula unit

***

Entry 2:
Entry from Alexandria via LeMat-Bulk: a relaxed structure of ZnRuW2 (PBE).

abc: 7.2222 7.2222 5.7303
angles: 50.94 50.94 90.00
Fractional coordinates of all 8 atoms:
W  0.0911  0.6250  0.2500
W  0.6589  0.1250  0.2500
W  0.8750  0.9089  0.7500
W  0.3750  0.3411  0.7500
Zn  0.5000  0.5000  0.0000
Zn  0.2500  0.7500  0.5000
Ru  0.0000  0.0000  0.0000
Ru  0.7500  0.2500  0.5000

Calculated values
total energy = -66.37 eV/cell
M_tot = 0.00 μB per formula unit

***

Entry 3:
Entry from Alexandria via LeMat-Bulk: a relaxed structure of LiZnSb (PBE).

abc: 4.4624 4.4624 7.2289
angles: 90.00 90.00 120.00
Fractional coordinates of all 6 atoms:
Zn  0.6667  0.3333  0.4980
Zn  0.3333  0.6667  0.9980
Sb  0.3333  0.6667  0.3806
Sb  0.6667  0.3333  0.8806
Li  0.0000  0.0000  0.6629
Li  0.0000  0.0000  0.1629

Calculated values
total energy = -16.80 eV/cell
M_tot = 0.00 μB per formula unit

***

Entry 4:
Entry from Alexandria via LeMat-Bulk: a relaxed structure of Pr2PuNi4Ge3 (PBE).

abc: 4.2589 4.2589 10.1103
angles: 90.00 90.00 90.00
Fractional coordinates of all 10 atoms:
Ni  0.5000  0.0000  0.6491
Ni  0.0000  0.0000  0.0000
Ni  0.5000  0.5000  0.0000
Ni  0.0000  0.5000  0.3509
Ge  0.0000  0.5000  0.1167
Ge  0.0000  0.0000  0.5000
Ge  0.5000  0.0000  0.8833
Pu  0.5000  0.5000  0.5000
Pr  0.5000  0.0000  0.2272
Pr  0.0000  0.5000  0.7728

Calculated values
total energy = -66.37 eV/cell
M_tot = 5.26 μB per formula unit

***

Entry 5:
Entry from Alexandria via LeMat-Bulk: a relaxed structure of Er5RhS4 (PBE).

abc: 3.8912 3.8912 14.1541
angles: 97.90 97.90 90.00
Fractional coordinates of all 10 atoms:
S  0.6045  0.6045  0.2091
S  0.1979  0.1979  0.3959
S  0.8021  0.8021  0.6041
S  0.3955  0.3955  0.7909
Er  0.9013  0.9013  0.8026
Er  0.7032  0.7032  0.4064
Er  0.5000  0.5000  0.0000
Er  0.2968  0.2968  0.5936
Er  0.0987  0.0987  0.1974
Rh  0.0000  0.0000  0.0000

Calculated values
total energy = -63.66 eV/cell
M_tot = 0.00 μB per formula unit

***

Entry 6:
Entry from Alexandria via LeMat-Bulk: a relaxed structure of Pr12YEr2 (PBE).

abc: 6.8977 6.8977 25.2164
angles: 90.00 90.00 116.59
Fractional coordinates of all 30 atoms:
Er  0.5000  0.0000  0.2673
Er  0.5000  0.0000  0.7293
Er  0.0000  0.5000  0.2707
Er  0.0000  0.5000  0.7327
Pr  0.2521  0.2479  0.0735
Pr  0.2485  0.7485  0.1313
Pr  0.0000  0.0000  0.1985
Pr  0.7485  0.2485  0.8687
Pr  0.7515  0.2515  0.1313
Pr  0.7479  0.7521  0.0735
Pr  0.0000  0.0000  0.6761
Pr  0.0000  0.0000  0.8015
Pr  0.5000  0.5000  0.3239
Pr  0.7696  0.2696  0.5857
Pr  0.2258  0.2742  0.4397
Pr  0.2304  0.7304  0.5857
Pr  0.2696  0.7696  0.4143
Pr  0.7258  0.7742  0.5603
Pr  0.2742  0.2258  0.5603
Pr  0.5000  0.5000  0.6761
Pr  0.7742  0.7258  0.4397
Pr  0.5000  0.5000  0.1985
Pr  0.7521  0.7479  0.9265
Pr  0.0000  0.0000  0.3239
Pr  0.5000  0.5000  0.8015
Pr  0.2515  0.7515  0.8687
Pr  0.7304  0.2304  0.4143
Pr  0.2479  0.2521  0.9265
Y  0.0000  0.5000  0.0010
Y  0.5000  0.0000  0.9990

Calculated values
total energy = -141.24 eV/cell
M_tot = 0.00 μB per formula unit